# GGA-PBE Mg2BePt2, relaxed
data_Mg2BePt2
_cell_length_a 6.031
_cell_length_b 6.031
_cell_length_c 4.349
_cell_angle_alpha 90.00
_cell_angle_beta 90.00
_cell_angle_gamma 90.00
_space_group_name_H-M_alt 'P 4/m b m'
_space_group_IT_number 127
_space_group_name_Hall '-P 4 2ab'
loop_
_atom_site_label
_atom_site_fract_x
_atom_site_fract_y
_atom_site_fract_z
Mg1 0.166 0.334 0.000
Be1 0.000 0.000 0.500
Pt1 0.155 0.655 0.500
# D(E_F) in states/eV per cell: 4.63
# Electronic total energy in eV/atom: -4.49